(1)
A relaxed structure of Zn2Pd2Pt5, computed with PBE.

Summary:
Total magnetization in μB per cell: 0.0
DOS(E_F) in states/eV per cell: 15.0
Formation energy in kJ/mol of atoms: -13
Symmetry: Ima2

```
Zn2Pd2Pt5
1.0
9.267 0.000 0.000
0.000 5.299 0.000
-4.633 -2.649 6.010
Zn Pd Pt
4 4 10
Cartesian
0.000 5.135 0.000
4.633 2.485 0.000
-0.033 0.657 3.005
4.667 3.307 3.005
0.078 2.780 1.384
4.555 0.131 4.626
4.555 0.131 1.384
0.078 2.780 4.626
-2.164 1.062 5.348
6.797 3.712 0.662
-2.470 -1.587 5.348
7.103 1.062 0.662
1.933 -0.412 1.701
2.700 2.238 4.309
2.700 2.238 1.701
1.933 -0.412 4.309
-2.211 2.374 3.005
6.845 -0.275 3.005
```

***

(2)
A relaxed structure of SbTe2OsC, computed with PBE.

Summary:
Total magnetization in μB per cell: 0.0
DOS(E_F) in states/eV per cell: 3.4
Symmetry: P4/mmm
Raw formation energy in eV per formula unit: 7.4

```
SbTe2OsC
1.0
4.594 0.000 0.000
0.000 4.594 0.000
0.000 0.000 4.557
Sb C Te Os
1 1 2 1
Cartesian
0.000 0.000 2.279
0.000 0.000 0.000
0.000 2.297 0.000
2.297 0.000 0.000
2.297 2.297 2.279
```

***

(3)
A relaxed structure of LiBe2W, computed with PBE.

Summary:
Total magnetization in μB per cell: 0.0
DOS(E_F) in states/eV per cell: 1.8
Formation energy in kJ/mol of atoms: 43
Symmetry: Pmm2

```
LiBe2W
1.0
2.581 0.000 0.000
0.000 3.702 0.000
0.000 0.000 4.962
Be Li W
2 1 1
Cartesian
0.000 0.000 4.905
1.291 1.851 1.306
0.000 0.000 2.354
1.291 1.851 3.840
```

***

(4)
A relaxed structure of ScCuGe2Se6, computed with PBE.

Summary:
Total magnetization in μB per cell: 0.0
Symmetry: C2/c
Raw formation energy in eV per formula unit: -5.2

```
ScCuGe2Se6
1.0
-0.770 -2.018 6.396
8.296 -2.049 2.574
1.206 7.475 4.725
Sc Cu Ge Se
2 2 4 12
Cartesian
7.217 -1.362 4.442
1.515 4.771 9.253
2.473 5.010 5.881
6.259 -1.602 7.814
6.939 2.489 6.496
3.301 0.421 3.660
1.793 0.920 7.199
5.431 2.988 10.035
8.794 3.922 7.262
1.237 -0.732 2.958
-0.062 -0.514 6.433
7.495 4.140 10.738
7.505 0.148 6.655
5.264 -0.636 2.735
1.227 3.261 7.041
3.468 4.044 10.960
5.743 0.661 10.543
3.748 0.201 6.004
2.989 2.747 3.153
4.984 3.207 7.692
```

***

(5)
A relaxed structure of SrFeP4, computed with PBE.

Summary:
Total magnetization in μB per cell: 2.7
DOS(E_F) in states/eV per cell: 5.9
Formation energy in kJ/mol of atoms: 31
Symmetry: F-43m

```
SrFeP4
1.0
-2.235 0.342 4.845
-4.517 2.782 0.670
-4.587 -2.554 1.015
Sr Fe P
1 1 4
Cartesian
-8.504 0.428 4.897
0.000 0.000 0.000
-6.589 1.727 2.739
-5.342 0.394 5.020
-6.627 -1.188 2.927
-4.120 0.207 2.373
```

***

(6)
A relaxed structure of Cs2CaCCl6, computed with PBE.

Summary:
Total magnetization in μB per cell: 0.0
DOS(E_F) in states/eV per cell: 0.0
Symmetry: Fm-3m
Raw formation energy in eV per formula unit: -10.7

```
Cs2CaCCl6
1.0
-5.027 1.353 5.128
-5.300 -1.012 -4.928
-5.306 -4.857 1.286
Cs Ca C Cl
2 1 1 6
Cartesian
-7.748 -1.667 3.257
-7.884 -2.850 -1.771
0.000 0.000 0.000
-5.163 0.170 0.100
-5.230 -2.173 0.653
-10.402 -2.343 0.833
-2.758 0.091 0.053
-7.569 0.250 0.147
-5.100 0.721 2.443
-5.227 -0.380 -2.242
```

***

(7)
A relaxed structure of LiTlCdF6, computed with PBE.

Summary:
Total magnetization in μB per cell: 0.0
DOS(E_F) in states/eV per cell: 0.0
Symmetry: P-31c
Raw formation energy in eV per formula unit: -19.8

```
LiTlCdF6
1.0
5.496 0.000 0.000
-2.748 4.760 0.000
0.000 0.000 9.718
Li Tl Cd F
2 2 2 12
Cartesian
2.748 1.587 2.430
0.000 3.173 7.289
0.000 3.173 2.430
2.748 1.587 7.289
0.000 0.000 0.000
0.000 0.000 4.859
1.881 3.092 1.290
4.485 1.585 1.290
-0.870 4.677 6.149
-1.737 3.175 8.428
1.011 1.585 3.569
3.615 3.092 3.569
0.870 4.677 8.428
3.619 0.083 3.569
-0.867 1.668 6.149
1.878 0.083 1.290
1.737 3.175 6.149
0.867 1.668 8.428
```

***

(8)
A relaxed structure of LaCuBiPd, computed with PBE.

Summary:
Total magnetization in μB per cell: 0.0
DOS(E_F) in states/eV per cell: 2.0
Formation energy in kJ/mol of atoms: -49
Symmetry: F-43m

```
LaCuBiPd
1.0
-4.137 -2.507 1.315
0.170 -3.327 3.747
-2.266 1.012 4.356
Cu Bi Pd La
1 1 1 1
Cartesian
-4.675 -3.616 7.063
-3.117 -2.411 4.709
-1.558 -1.205 2.354
0.000 0.000 0.000
```

***

(9)
A relaxed structure of Na3HgPb, computed with PBE.

Summary:
Total magnetization in μB per cell: 0.0
DOS(E_F) in states/eV per cell: 3.4
Formation energy in kJ/mol of atoms: 9
Symmetry: Pm-3m

```
Na3HgPb
1.0
5.615 0.000 0.000
0.000 5.615 0.000
0.000 0.000 5.615
Pb Na Hg
1 3 1
Cartesian
2.807 2.807 2.807
0.000 2.807 0.000
0.000 0.000 2.807
2.807 0.000 0.000
0.000 0.000 0.000
```

***

(10)
A relaxed structure of TbCr2Si2C, computed with PBE.

Summary:
Total magnetization in μB per cell: 1.4
DOS(E_F) in states/eV per cell: 4.2
Symmetry: P4/mmm
Raw formation energy in eV per formula unit: -2.8

```
TbCr2Si2C
1.0
3.964 0.000 0.000
0.000 3.964 0.000
0.000 0.000 5.262
Tb Cr Si C
1 2 2 1
Cartesian
0.000 0.000 2.631
0.000 1.982 0.000
1.982 0.000 0.000
1.982 1.982 1.426
1.982 1.982 3.836
0.000 0.000 0.000
```

***

(11)
A relaxed structure of Li2Y2Mg, computed with PBE.

Summary:
Total magnetization in μB per cell: 3.1
DOS(E_F) in states/eV per cell: 11.8
Formation energy in kJ/mol of atoms: 9
Symmetry: P4/mbm

```
Li2Y2Mg
1.0
7.119 0.000 0.000
0.000 7.119 0.000
0.000 0.000 5.004
Y Mg Li
4 2 4
Cartesian
1.280 4.839 2.502
4.839 5.839 2.502
5.839 2.280 2.502
2.280 1.280 2.502
0.000 0.000 0.000
3.560 3.560 0.000
2.673 6.232 0.000
6.232 4.446 0.000
4.446 0.887 0.000
0.887 2.673 0.000
```

***

(12)
A relaxed structure of NdZnGa3Ag, computed with PBE.

Summary:
Total magnetization in μB per cell: 0.0
DOS(E_F) in states/eV per cell: 4.6
Formation energy in kJ/mol of atoms: -13
Symmetry: Cmcm

```
NdZnGa3Ag
1.0
-1.123 2.322 5.990
-3.752 -4.313 0.969
6.842 -1.626 1.913
Nd Zn Ga Ag
2 2 6 2
Cartesian
2.277 -0.634 5.998
-0.311 -2.982 2.873
1.829 -4.612 3.906
0.137 0.996 4.965
0.916 -0.331 2.075
-1.051 -1.208 0.271
-3.263 -1.943 3.692
-1.613 -0.047 3.266
-2.701 -3.104 0.697
1.050 -3.285 6.796
3.038 -1.947 3.100
-1.071 -1.669 5.772
```